Below is crystalline PmNd12Er6 at its relaxed geometry, with properties calculated at the PBE level.

Cell: 9.452 9.452 9.452 Å, 109.47 109.47 109.47°
Fractional coordinates of all 19 atoms:
Pm 0.000 0.000 0.000
Nd 0.067 0.264 0.803
Nd 0.197 0.461 0.264
Nd 0.197 0.933 0.736
Nd 0.264 0.197 0.461
Nd 0.264 0.803 0.067
Nd 0.461 0.264 0.197
Nd 0.539 0.736 0.803
Nd 0.736 0.197 0.933
Nd 0.736 0.803 0.539
Nd 0.803 0.067 0.264
Nd 0.803 0.539 0.736
Nd 0.933 0.736 0.197
Er 0.142 0.500 0.642
Er 0.358 0.858 0.500
Er 0.500 0.358 0.858
Er 0.500 0.642 0.142
Er 0.642 0.142 0.500
Er 0.858 0.500 0.358

energy above the most stable polymorph in this dataset: 33 meV/atom
space group: Im-3
raw total energy: -85.10 eV/cell
total moment: 0.0 μB per cell
crystal system: cubic
E_form: 223 meV per atom